1.
Computed, not measured: a relaxed structure of CaBi2Os at the PBE level of DFT.

```
4
Lattice="0.0000 3.5880 3.5880 3.5880 0.0000 3.5880 3.5880 3.5880 0.0000" Properties=species:S:1:pos:R:3 pbc="T T T"
Os 3.5880 3.5880 3.5880
Bi 5.3821 5.3821 5.3821
Bi 1.7940 1.7940 1.7940
Ca 0.0000 0.0000 0.0000
```

Results
- total energy (Ry per atom) = -0.370
- DOS at the Fermi energy (states/eV per atom) = 0.3224
- energy relative to the elements (eV per atom) = 0.214
- SG = Fm-3m

2.
Computed, not measured: a relaxed structure of CaBiOs3 at the PBE level of DFT.

```
5
Lattice="-0.4062 0.4566 -4.7314 3.5926 -3.0799 -0.6057 -3.1124 -3.6146 -0.0816" Properties=species:S:1:pos:R:3 pbc="T T T"
Os -0.2031 0.2283 -2.3657
Bi 0.0370 -3.1189 -2.7093
Ca 0.0000 0.0000 0.0000
Os -1.5562 -1.8073 -0.0408
Os 1.7963 -1.5399 -0.3028
```

Results
- total energy (Ry per atom) = -0.373
- DOS at the Fermi energy (states/eV per atom) = 1.5306
- energy relative to the elements (eV per atom) = 2.834
- SG = Pm-3m

3.
Computed, not measured: a relaxed structure of CaBi3Os at the PBE level of DFT.

```
5
Lattice="5.4142 0.0000 0.0000 0.0000 5.4142 0.0000 0.0000 0.0000 5.4142" Properties=species:S:1:pos:R:3 pbc="T T T"
Os 0.0000 0.0000 0.0000
Bi 2.7071 0.0000 0.0000
Bi 0.0000 0.0000 2.7071
Bi 0.0000 2.7071 0.0000
Ca 2.7071 2.7071 2.7071
```

Results
- total energy (Ry per atom) = -0.335
- DOS at the Fermi energy (states/eV per atom) = 0.7782
- energy relative to the elements (eV per atom) = 0.416
- SG = Pm-3m

4.
Computed, not measured: a relaxed structure of Ca3BiOs at the PBE level of DFT.

```
5
Lattice="-1.4126 -1.9061 5.3223 -3.1145 -4.3159 -2.3723 4.7180 -3.4198 0.0275" Properties=species:S:1:pos:R:3 pbc="T T T"
Ca -0.7063 -0.9530 2.6611
Os 0.0954 -4.8209 1.4887
Ca -1.5572 -2.1580 -1.1862
Bi 0.0000 0.0000 0.0000
Ca 2.3590 -1.7099 0.0138
```

Results
- total energy (Ry per atom) = -0.242
- DOS at the Fermi energy (states/eV per atom) = 2.2698
- energy relative to the elements (eV per atom) = 0.929
- SG = Pm-3m

5.
Computed, not measured: a relaxed structure of CaBiOs2 at the PBE level of DFT.

```
8
Lattice="-3.5128 0.9253 -7.0149 5.0233 -5.1895 -3.2000 -1.0401 -4.2520 -4.4880" Properties=species:S:1:pos:R:3 pbc="T T T"
Os -0.4102 -4.5850 -7.0713
Os 0.7382 -7.1233 -12.4293
Os 2.5779 -4.2270 -3.7243
Ca 2.3692 -5.7868 -6.3977
Ca 0.7553 -2.1321 -5.1075
Bi 0.0000 0.0000 0.0000
Os -1.9651 -1.0972 -6.1808
Bi -1.8988 -2.7294 -8.3052
```

Results
- total energy (Ry per atom) = -0.429
- DOS at the Fermi energy (states/eV per atom) = 2.1124
- energy relative to the elements (eV per atom) = 1.248
- SG = I-42d

6.
Computed, not measured: a relaxed structure of CaBi3Os at the PBE level of DFT.

```
5
Lattice="-3.8921 0.3023 -4.1334 3.5133 -2.7671 -3.5106 -2.1983 -4.9574 1.7075" Properties=species:S:1:pos:R:3 pbc="T T T"
Bi -1.0992 -2.4787 0.8538
Bi 1.7567 -1.3836 -1.7553
Ca 0.0000 0.0000 0.0000
Os -1.2886 -3.7111 -2.9682
Bi -1.9461 0.1511 -2.0667
```

Results
- total energy (Ry per atom) = -0.238
- DOS at the Fermi energy (states/eV per atom) = 1.6989
- energy relative to the elements (eV per atom) = 1.731
- SG = Pm-3m

7.
Computed, not measured: a relaxed structure of CaBiOs3 at the PBE level of DFT.

```
5
Lattice="-4.2062 -2.0600 1.7884 -1.4372 -1.1201 -4.6705 2.3187 -4.4312 0.3491" Properties=species:S:1:pos:R:3 pbc="T T T"
Os -0.7186 -0.5600 -2.3353
Bi 0.0000 0.0000 0.0000
Os 1.1594 -2.2156 0.1746
Os -2.1031 -1.0300 0.8942
Ca -1.6624 -3.8057 -1.2665
```

Results
- total energy (Ry per atom) = -0.419
- DOS at the Fermi energy (states/eV per atom) = 1.3579
- energy relative to the elements (eV per atom) = 2.213
- SG = Pm-3m

8.
Computed, not measured: a relaxed structure of Ca3BiOs at the PBE level of DFT.

```
5
Lattice="5.4316 0.0000 0.0000 0.0000 5.4316 0.0000 0.0000 0.0000 5.4316" Properties=species:S:1:pos:R:3 pbc="T T T"
Os 0.0000 0.0000 0.0000
Ca 0.0000 2.7158 0.0000
Bi 2.7158 2.7158 2.7158
Ca 2.7158 0.0000 0.0000
Ca 0.0000 0.0000 2.7158
```

Results
- total energy (Ry per atom) = -0.301
- DOS at the Fermi energy (states/eV per atom) = 1.1060
- energy relative to the elements (eV per atom) = 0.122
- SG = Pm-3m

9.
Computed, not measured: a relaxed structure of CaBi2Os at the PBE level of DFT.

```
8
Lattice="-5.1211 -4.5148 -5.2610 6.7775 -4.6367 -2.6181 0.3078 -6.6066 -1.6902" Properties=species:S:1:pos:R:3 pbc="T T T"
Bi 0.3046 -8.0123 -4.0109
Os -1.9925 -7.8486 -5.4454
Ca 0.8282 -4.5757 -3.9396
Bi 2.2275 -13.3369 -8.3734
Ca 3.9567 -7.9095 -4.1240
Os 0.0000 0.0000 0.0000
Bi 4.0863 -4.7493 -2.2916
Bi -2.6901 -5.4176 -4.4629
```

Results
- total energy (Ry per atom) = -0.370
- DOS at the Fermi energy (states/eV per atom) = 0.6701
- energy relative to the elements (eV per atom) = 0.220
- SG = I-42d

10.
Computed, not measured: a relaxed structure of CaBiPOs2 at the PBE level of DFT.

```
5
Lattice="5.0281 0.0000 0.0000 0.0000 5.2695 0.0000 0.0000 0.0000 5.0281" Properties=species:S:1:pos:R:3 pbc="T T T"
Bi 0.0000 0.0000 0.0000
Ca 2.5141 2.6347 2.5141
Os 2.5141 0.0000 0.0000
Os 0.0000 0.0000 2.5141
P 0.0000 2.6347 0.0000
```

Results
- total energy (Ry per atom) = -0.365
- DOS at the Fermi energy (states/eV per atom) = 1.3557
- energy relative to the elements (eV per atom) = 1.788
- SG = P4/mmm

11.
Computed, not measured: a relaxed structure of Ca2BiPOs at the PBE level of DFT.

```
5
Lattice="5.4372 0.0000 0.0000 0.0000 5.0651 0.0000 0.0000 0.0000 5.4372" Properties=species:S:1:pos:R:3 pbc="T T T"
P 2.7186 2.5325 2.7186
Ca 2.7186 0.0000 0.0000
Os 0.0000 0.0000 0.0000
Bi 0.0000 2.5325 0.0000
Ca 0.0000 0.0000 2.7186
```

Results
- total energy (Ry per atom) = -0.339
- DOS at the Fermi energy (states/eV per atom) = 0.2737
- energy relative to the elements (eV per atom) = 0.289
- SG = P4/mmm

12.
Computed, not measured: a relaxed structure of Ca2ReBiOs at the PBE level of DFT.

```
5
Lattice="5.8289 0.0000 0.0000 0.0000 4.9708 0.0000 0.0000 0.0000 5.8289" Properties=species:S:1:pos:R:3 pbc="T T T"
Os 0.0000 2.4854 0.0000
Ca 2.9144 0.0000 0.0000
Bi 0.0000 0.0000 0.0000
Re 2.9144 2.4854 2.9144
Ca 0.0000 0.0000 2.9144
```

Results
- total energy (Ry per atom) = -0.329
- DOS at the Fermi energy (states/eV per atom) = 0.9639
- energy relative to the elements (eV per atom) = 1.831
- SG = P4/mmm

13.
Computed, not measured: a relaxed structure of CaBiOs2Se at the PBE level of DFT.

```
5
Lattice="-4.7369 -1.4976 -0.7676 1.6557 -2.7838 -4.7861 0.8705 -4.1429 2.7108" Properties=species:S:1:pos:R:3 pbc="T T T"
Os -2.3684 -0.7488 -0.3838
Se 0.8278 -1.3919 -2.3930
Bi 0.0000 0.0000 0.0000
Os 0.4353 -2.0714 1.3554
Ca -1.1053 -4.2121 -1.4214
```

Results
- uncorrected formation energy (eV per atom) = 1.525
- total energy (Ry per atom) = -0.356
- DOS at the Fermi energy (states/eV per atom) = 0.7054
- SG = P4/mmm

14.
Computed, not measured: a relaxed structure of CaVBiOs2 at the PBE level of DFT.

```
5
Lattice="-4.3725 -1.7026 -0.3456 1.7845 -3.9811 -2.9641 0.6959 -2.5742 3.8764" Properties=species:S:1:pos:R:3 pbc="T T T"
V -0.9460 -4.1290 0.2833
Os -2.1863 -0.8513 -0.1728
Bi 0.8923 -1.9906 -1.4821
Os 0.3480 -1.2871 1.9382
Ca 0.0000 0.0000 0.0000
```

Results
- total energy (Ry per atom) = -0.348
- DOS at the Fermi energy (states/eV per atom) = 1.8781
- energy relative to the elements (eV per atom) = 2.759
- SG = P4/mmm

15.
Computed, not measured: a relaxed structure of CaVBiOs2 at the PBE level of DFT.

```
5
Lattice="-1.0213 -4.3675 -1.8604 4.2075 -0.3478 -1.4934 1.3120 -2.0885 4.1828" Properties=species:S:1:pos:R:3 pbc="T T T"
Os -0.5106 -2.1838 -0.9302
Bi 2.2491 -3.4019 0.4146
V 2.1037 -0.1739 -0.7467
Ca 0.0000 0.0000 0.0000
Os 0.6560 -1.0442 2.0914
```

Results
- total energy (Ry per atom) = -0.369
- DOS at the Fermi energy (states/eV per atom) = 1.6606
- energy relative to the elements (eV per atom) = 2.469
- SG = P4/mmm

16.
Computed, not measured: a relaxed structure of Ca6BiP2 at the PBE level of DFT.

```
9
Lattice="-2.7314 -0.4971 -4.1633 -0.4492 -3.3384 3.7006 -8.9451 6.8082 5.0558" Properties=species:S:1:pos:R:3 pbc="T T T"
Bi 0.0000 0.0000 0.0000
Ca -2.4723 1.8817 1.3973
P -7.0995 2.0913 4.4081
P -5.0262 0.8814 0.1850
Ca -2.9154 -0.7251 -1.0080
Ca -6.4728 4.9265 3.6584
Ca -4.9903 0.4860 3.2160
Ca -9.2103 3.6979 5.6011
Ca -7.1354 2.4867 1.3771
```

Results
- total energy (Ry per atom) = -0.276
- DOS at the Fermi energy (states/eV per atom) = 0.5151
- energy relative to the elements (eV per atom) = -0.789
- SG = P-3m1

17.
Computed, not measured: a relaxed structure of Ca3BiP at the PBE level of DFT.

```
10
Lattice="4.5900 -0.0002 -0.0001 0.0003 9.0729 -0.0003 0.0001 0.0001 7.1766" Properties=species:S:1:pos:R:3 pbc="T T T"
Bi 3.1367 5.8402 1.2929
Ca 0.8419 4.1132 3.0424
Ca 3.1371 1.2728 6.6297
P 3.1369 3.6359 4.8814
Bi 0.8419 8.6179 4.8799
Ca 0.8420 4.1125 6.7210
P 0.8420 1.7496 1.2926
Ca 0.8418 7.9288 1.2944
Ca 3.1368 6.5293 4.8827
Ca 3.1371 1.2741 3.1314
```

Results
- total energy (Ry per atom) = -0.299
- DOS at the Fermi energy (states/eV per atom) = 0.0000
- energy relative to the elements (eV per atom) = -1.005
- SG = Pmmn

18.
Computed, not measured: a relaxed structure of Ca3BiP at the PBE level of DFT.

```
10
Lattice="18.6679 0.0000 -0.2935 6.9110 2.6312 -3.7002 -6.9110 2.6312 3.7002" Properties=species:S:1:pos:R:3 pbc="T T T"
Bi 0.1860 2.6312 3.5873
Bi 18.4820 2.6312 -3.8807
Ca 7.4336 2.6312 1.8618
Ca 11.3997 2.6312 1.6549
Ca 21.0096 2.6312 -1.6913
P -4.6714 2.6312 3.2920
P 23.3393 2.6312 -3.5855
Ca 7.2682 2.6312 -1.9484
Ca -2.3416 2.6312 1.3978
Ca 11.2343 2.6312 -2.1553
```

Results
- total energy (Ry per atom) = -0.292
- DOS at the Fermi energy (states/eV per atom) = 0.0000
- energy relative to the elements (eV per atom) = -0.910
- SG = C2/m

19.
Computed, not measured: a relaxed structure of Ca4BiP2 at the PBE level of DFT.

```
14
Lattice="-4.0558 5.3203 -4.1257 -4.8946 -4.6470 4.0281 4.7270 3.7320 5.0486" Properties=species:S:1:pos:R:3 pbc="T T T"
Ca 0.5578 -0.0056 6.1676
P -5.7190 -0.9255 2.0935
Bi -2.3214 -0.2892 4.5139
Ca -2.9368 -0.5978 1.4572
Ca -3.5374 4.3178 -1.2029
Ca -5.9881 1.9431 0.7508
Bi -4.2232 4.4052 4.9510
Ca -1.4667 2.7052 4.1650
P -3.2088 2.4023 1.3143
P -0.7427 5.4988 2.8330
P 1.2242 1.8347 3.6609
Ca 1.9449 4.7603 3.5289
Ca -5.0538 1.5433 3.9849
Ca -0.4136 2.9555 0.9526
```

Results
- total energy (Ry per atom) = -0.308
- DOS at the Fermi energy (states/eV per atom) = 0.7553
- energy relative to the elements (eV per atom) = -0.950
- SG = I-42d

20.
Computed, not measured: a relaxed structure of Ca3BiP at the PBE level of DFT.

```
10
Lattice="5.4184 -0.0001 -0.0011 -0.0004 6.8841 -0.0498 0.0020 -0.5229 8.3898" Properties=species:S:1:pos:R:3 pbc="T T T"
Ca 1.3165 1.3962 2.2922
P 4.0261 4.9380 6.6450
Ca 4.0255 3.0924 4.2626
Ca 4.0272 0.9679 7.5076
P 4.0257 1.2478 1.8783
Bi 1.3176 1.3947 5.7117
Ca 1.3167 4.7908 6.2311
Ca 4.0253 6.5346 4.2360
Bi 1.3154 4.7913 2.8127
Ca 4.0238 5.2149 1.0156
```

Results
- total energy (Ry per atom) = -0.296
- DOS at the Fermi energy (states/eV per atom) = 0.0042
- energy relative to the elements (eV per atom) = -0.971
- SG = P2/m

21.
Computed, not measured: a relaxed structure of Ca6BiP2 at the PBE level of DFT.

```
9
Lattice="5.4568 0.0000 0.0000 2.7284 7.2160 -0.5883 2.7284 2.2997 7.8596" Properties=species:S:1:pos:R:3 pbc="T T T"
Ca 8.1852 6.7705 1.1312
Bi 2.7284 4.7578 3.6356
P 5.4568 7.3779 6.7411
Ca 2.7284 2.7452 6.1401
Ca 2.7284 2.7985 0.7232
Ca 5.4568 2.8188 3.3055
Ca 5.4568 6.6969 3.9658
P 5.4568 2.1378 0.5302
Ca 8.1852 6.7172 6.5480
```

Results
- total energy (Ry per atom) = -0.276
- DOS at the Fermi energy (states/eV per atom) = 0.3094
- energy relative to the elements (eV per atom) = -0.790
- SG = C2/m

22.
Computed, not measured: a relaxed structure of Ca3BiP at the PBE level of DFT.

```
10
Lattice="3.7811 -10.6399 0.0000 3.7811 10.6399 0.0000 0.0000 0.0000 6.2035" Properties=species:S:1:pos:R:3 pbc="T T T"
Ca 1.9156 4.0160 4.6526
Ca 5.6466 4.0160 4.6526
Ca 5.6466 -4.0160 1.5509
Bi 3.7811 3.9531 1.5509
Ca 0.0000 0.0000 3.1018
Bi 3.7811 -3.9531 4.6526
Ca 1.9156 -4.0160 1.5509
P 3.7811 8.5290 1.5509
Ca 0.0000 0.0000 0.0000
P 3.7811 -8.5290 4.6526
```

Results
- total energy (Ry per atom) = -0.251
- DOS at the Fermi energy (states/eV per atom) = 1.4744
- energy relative to the elements (eV per atom) = -0.352
- SG = Cmcm

23.
Computed, not measured: a relaxed structure of Ca3BiP at the PBE level of DFT.

```
10
Lattice="5.4975 0.0006 0.0014 -0.0004 7.5732 0.0000 -0.0005 0.0001 7.5739" Properties=species:S:1:pos:R:3 pbc="T T T"
Ca 4.0836 0.8104 7.1354
P 4.0829 5.9686 5.7694
Ca 4.0827 4.5954 0.6055
Ca 1.3345 2.1814 1.9827
P 4.0834 2.1805 1.9724
Ca 4.0840 3.5661 4.3792
Bi 1.3339 5.9582 1.9919
Bi 1.3355 2.1756 5.7510
Ca 1.3341 5.9649 5.7567
Ca 4.0823 7.3513 3.3609
```

Results
- total energy (Ry per atom) = -0.299
- DOS at the Fermi energy (states/eV per atom) = 0.0000
- energy relative to the elements (eV per atom) = -1.014
- SG = Pmc2_1

24.
Computed, not measured: a relaxed structure of Ca7Bi2P2 at the PBE level of DFT.

```
11
Lattice="7.1079 -0.0032 -0.2306 0.0032 7.1324 0.0031 -0.6730 -0.0027 7.0797" Properties=species:S:1:pos:R:3 pbc="T T T"
Ca 3.2197 5.4422 3.4271
Ca 2.8817 1.7173 6.9650
Ca 3.5564 5.4092 -0.1128
Ca 0.0000 0.0000 0.0000
Ca 3.2184 1.6843 3.4251
Ca 6.7736 5.4063 3.3116
P 4.9789 -0.0030 1.7696
Bi 1.3740 3.5649 1.4623
Ca -0.3356 1.7202 3.5406
Bi 5.0641 3.5616 5.3899
P 1.4592 7.1295 5.0825
```

Results
- total energy (Ry per atom) = -0.277
- DOS at the Fermi energy (states/eV per atom) = 0.5423
- energy relative to the elements (eV per atom) = -0.806
- SG = Cmmm

25.
Computed, not measured: a relaxed structure of Ca3BiP at the PBE level of DFT.

```
10
Lattice="4.4143 0.0004 -0.0002 -0.0011 8.6406 -0.0003 -4.4129 -0.9320 8.4683" Properties=species:S:1:pos:R:3 pbc="T T T"
Bi 0.8114 -0.5239 6.6522
Ca 3.0167 1.4875 0.5541
Ca 0.8085 7.1139 1.0055
Ca -1.3964 5.8545 6.2793
P 0.8095 0.8877 2.3505
Ca 0.8098 2.8400 6.7313
Ca 0.8091 3.6533 3.0452
P -1.3977 3.4399 4.9354
Bi 3.0160 4.8519 0.6334
Ca -1.3975 0.6744 4.2407
```

Results
- total energy (Ry per atom) = -0.295
- DOS at the Fermi energy (states/eV per atom) = 0.0000
- energy relative to the elements (eV per atom) = -0.961
- SG = P2_1/m

26.
Computed, not measured: a relaxed structure of CaBi2P2 at the PBE level of DFT.

```
5
Lattice="4.4440 0.0000 0.0000 0.0000 4.4440 0.0000 2.2220 2.2220 6.9116" Properties=species:S:1:pos:R:3 pbc="T T T"
Bi 4.4440 2.2220 3.4558
Bi 2.2220 4.4440 3.4558
P 4.4440 4.4440 5.8325
Ca 0.0000 0.0000 0.0000
P 2.2220 2.2220 1.0791
```

Results
- total energy (Ry per atom) = -0.312
- DOS at the Fermi energy (states/eV per atom) = 0.3875
- energy relative to the elements (eV per atom) = -0.130
- SG = I4/mmm